A plane-wave DFT calculation with PBE was carried out for a relaxed structure of CaNd2GaN.

As for the formation energy without anion corrections: -0.777 eV/atom. As for the space group: P4/mmm.

abc: 5.005 5.005 4.795
angles: 90.00 90.00 90.00
Element x y z (fractional)
Ca: 0.000 0.000 0.000
Nd: 0.000 0.500 0.500
Nd: 0.500 0.000 0.500
Ga: 0.500 0.500 0.000
N: 0.000 0.000 0.500



A plane-wave DFT calculation with PBE was carried out for a relaxed structure of Ca3Np3GaN8.

As for the formation energy without anion corrections: -0.853 eV/atom. As for the space group: C2/m.

abc: 6.726 6.726 6.882
angles: 119.25 119.25 59.90
Element x y z (fractional)
Ca: 0.000 0.000 0.000
Ca: 0.000 0.500 0.000
Ca: 0.500 0.000 0.000
Np: 0.000 0.500 0.500
Np: 0.500 0.000 0.500
Np: 0.500 0.500 0.500
Ga: 0.000 0.000 0.500
N: 0.231 0.736 0.698
N: 0.233 0.233 0.698
N: 0.258 0.258 0.274
N: 0.264 0.769 0.302
N: 0.736 0.231 0.698
N: 0.742 0.742 0.726
N: 0.767 0.767 0.302
N: 0.769 0.264 0.302



A plane-wave DFT calculation with PBE was carried out for a relaxed structure of CaGaN2O.

As for the formation energy without anion corrections: 1.008 eV/atom. As for the space group: P4/mmm.

abc: 4.732 4.732 4.392
angles: 90.00 90.00 90.00
Element x y z (fractional)
Ca: 0.000 0.000 0.000
Ga: 0.500 0.500 0.500
N: 0.000 0.500 0.000
N: 0.500 0.000 0.000
O: 0.000 0.000 0.500



A plane-wave DFT calculation with PBE was carried out for a relaxed structure of CaGaN2O.

As for the formation energy without anion corrections: -0.154 eV/atom. As for the space group: P4/mmm.

abc: 3.927 3.927 4.047
angles: 90.00 90.00 90.00
Element x y z (fractional)
Ca: 0.000 0.000 0.000
Ga: 0.500 0.500 0.500
N: 0.000 0.500 0.500
N: 0.500 0.000 0.500
O: 0.500 0.500 0.000